(1)
NiMo3I PBE-GGA relaxed; crystal system = cubic
1.0
4.832 0.000 0.000
0.000 4.832 0.000
0.000 0.000 4.832
Ni Mo I
1 3 1
direct
0.000 0.000 0.000
0.000 0.500 0.500
0.500 0.000 0.500
0.500 0.500 0.000
0.500 0.500 0.500

***

(2)
CuBF2 PBE-GGA relaxed; crystal system = trigonal
1.0
1.444 0.834 6.800
-1.444 0.834 6.800
0.000 -1.668 6.800
Cu B F
1 1 2
direct
0.000 0.000 0.000
0.500 0.500 0.500
0.090 0.090 0.090
0.910 0.910 0.910

***

(3)
Hf3ReSb PBE-GGA relaxed; crystal system = cubic
1.0
5.102 0.000 0.000
0.000 5.102 0.000
0.000 0.000 5.102
Hf Re Sb
3 1 1
direct
0.000 0.000 0.500
0.000 0.500 0.000
0.500 0.000 0.000
0.500 0.500 0.500
0.000 0.000 0.000

***

(4)
Ge2SCl2 PBE-GGA relaxed; crystal system = monoclinic
1.0
6.374 -2.732 0.000
6.374 2.732 0.000
-4.123 0.000 7.977
Ge S Cl
4 2 4
direct
0.044 0.044 0.329
0.312 0.312 0.892
0.688 0.688 0.108
0.956 0.956 0.671
0.131 0.131 0.639
0.869 0.869 0.361
0.171 0.171 0.053
0.434 0.434 0.720
0.566 0.566 0.280
0.829 0.829 0.947

***

(5)
YMo3Au PBE-GGA relaxed; calculated formation energy = 2417 meV per atom; crystal system = cubic
1.0
4.763 0.000 0.000
0.000 4.763 0.000
0.000 0.000 4.763
Y Mo Au
1 3 1
direct
0.000 0.000 0.000
0.000 0.000 0.500
0.000 0.500 0.000
0.500 0.000 0.000
0.500 0.500 0.500

***

(6)
BaOsSe2 PBE-GGA relaxed; crystal system = tetragonal
1.0
5.105 0.000 0.000
0.000 5.105 0.000
0.000 0.000 3.496
Ba Os Se
1 1 2
direct
0.000 0.000 0.000
0.500 0.500 0.000
0.000 0.500 0.500
0.500 0.000 0.500

***

(7)
TaAlW4 PBE-GGA relaxed; calculated formation energy = 170 meV per atom; crystal system = cubic
1.0
0.000 3.728 3.728
3.728 0.000 3.728
3.728 3.728 0.000
Ta Al W
1 1 4
direct
0.000 0.000 0.000
0.250 0.250 0.250
0.127 0.624 0.624
0.624 0.127 0.624
0.624 0.624 0.127
0.624 0.624 0.624

***

(8)
Nd5Si3 PBE-GGA relaxed; crystal system = tetragonal
1.0
-3.909 3.909 6.942
3.909 -3.909 6.942
3.909 3.909 -6.942
Nd Si
10 6
direct
0.000 0.000 0.000
0.032 0.532 0.856
0.176 0.032 0.500
0.324 0.824 0.856
0.468 0.324 0.500
0.500 0.500 0.000
0.532 0.676 0.500
0.676 0.176 0.144
0.824 0.968 0.500
0.968 0.468 0.144
0.115 0.385 0.500
0.250 0.250 0.000
0.385 0.885 0.269
0.615 0.115 0.731
0.750 0.750 0.000
0.885 0.615 0.500

***

| no. | DFT total energy (eV per formula unit) | total magnetic moment (μB per formula unit) |
| --- | --- | --- |
| 1 | -27.583 | 0.0 |
| 2 | -14.733 | 0.0 |
| 3 | -38.561 | 2.1 |
| 4 | -19.559 | 0.0 |
| 5 | -30.151 | 0.0 |
| 6 | -19.251 | 0.6 |
| 7 | -66.390 | 0.0 |
| 8 | -44.810 | 0.0 |